VASP calculation (PBE-GGA) on an optimized crystal structure of La15SmEr4.

Lattice parameters (Å, degrees): 5.2026 5.2026 26.0339 90.00 90.00 90.00
Closest atoms and distances in Å follow each position.
Sites, in units of the cell vectors:
La 0.5000 0.5000 0.0000  4 Sm 3.68, 8 La 3.70
La 0.5000 0.5000 0.2007  8 La 3.68, 4 Er 3.68
La 0.5000 0.5000 0.4001  8 La 3.67-3.68, 4 Er 3.68
La 0.5000 0.5000 0.5999  8 La 3.67-3.68, 4 Er 3.68
La 0.5000 0.5000 0.7993  8 La 3.68, 4 Er 3.68
La 0.5000 0.0000 0.1010  8 La 3.68-3.70, 2 Er 3.68, 2 Sm 3.70
La 0.5000 0.0000 0.3005  4 Er 3.67, 8 La 3.67-3.68
La 0.5000 0.0000 0.5000  4 Er 3.68, 8 La 3.68
La 0.5000 0.0000 0.6995  4 Er 3.67, 8 La 3.67-3.68
La 0.5000 0.0000 0.8990  8 La 3.68-3.70, 2 Er 3.68, 2 Sm 3.70
La 0.0000 0.5000 0.1010  8 La 3.68-3.70, 2 Er 3.68, 2 Sm 3.70
La 0.0000 0.5000 0.3005  4 Er 3.67, 8 La 3.67-3.68
La 0.0000 0.5000 0.5000  4 Er 3.68, 8 La 3.68
La 0.0000 0.5000 0.6995  4 Er 3.67, 8 La 3.67-3.68
La 0.0000 0.5000 0.8990  8 La 3.68-3.70, 2 Er 3.68, 2 Sm 3.70
Sm 0.0000 0.0000 0.0000  12 La 3.68-3.70
Er 0.0000 0.0000 0.2009  12 La 3.67-3.68
Er 0.0000 0.0000 0.4002  12 La 3.67-3.68
Er 0.0000 0.0000 0.5998  12 La 3.67-3.68
Er 0.0000 0.0000 0.7991  12 La 3.67-3.68

Output
E_tot in eV/atom: -4.836
Space-group type: P4/mmm (123)
Formation enthalpy at 0 K in meV/atom: 8